Computed, not measured: a relaxed structure of Li3Ac2Ni2 at the PBE-GGA level of DFT.

Computed properties:
**Fermi-level density of states**: 4.3 states/eV/cell
**Volume**: 177 Å³ per cell
**SG**: Cmmm, No. 65
**Energy relative to the lowest polymorph listed for this composition**: 0 meV per atom
**Magnetization**: 0.0 μB per formula unit
**DFT formation energy**: -115 meV per atom

Unit cell a=11.1090 b=11.1090 c=3.9903 alpha=90.00 beta=90.00 gamma=158.97
Positions (direct):
1 Li 0.0000 0.0000 0.0000
2 Li 0.4338 0.5662 0.5000
3 Li 0.5662 0.4338 0.5000
4 Ac 0.1705 0.8295 0.0000
5 Ac 0.8295 0.1705 0.0000
6 Ni 0.2817 0.7183 0.5000
7 Ni 0.7183 0.2817 0.5000